Here is an optimized crystal structure of Cu2Pd3Au from Alexandria. Energies are from GGA-PBE.

Computed properties:
Crystal system: orthorhombic
Offset from the most stable computed form in meV per atom: 8
Spin magnetization in μB per cell: 0.000

Lattice parameters (Å, degrees): 3.9860 11.9851 7.4413 90.00 90.00 90.00
Space group Cmmm (No. 65)
Asymmetric unit:
Cu (0.0000, 0.0000, 0.0000) x2
Cu (0.0000, 0.0000, 0.5000) x2
Cu (0.0000, 0.3324, 0.0000) x4
Pd (0.0000, 0.1652, 0.2320) x8
Pd (0.0000, 0.5000, 0.2307) x4
Au (0.0000, 0.3387, 0.5000) x4

***

Here is an optimized crystal structure of Cu6Pd2Au from Alexandria. Energies are from GGA-PBE.

Computed properties:
Crystal system: monoclinic
Offset from the most stable computed form in meV per atom: 31
Spin magnetization in μB per cell: 0.000

Lattice parameters (Å, degrees): 7.8245 5.0507 6.6379 90.00 106.77 90.00
Space group C2/m (No. 12)
Asymmetric unit:
Cu (0.0449, 0.2372, 0.1892) x8
Cu (0.2419, 0.5000, 0.9870) x4
Pd (0.1766, 0.0000, 0.5931) x4
Au (0.0000, 0.5000, 0.5000) x2

***

Here is an optimized crystal structure of CuPd2Au6 from Alexandria. Energies are from GGA-PBE.

Computed properties:
Crystal system: monoclinic
Offset from the most stable computed form in meV per atom: 0
Spin magnetization in μB per cell: 0.000

Lattice parameters (Å, degrees): 7.5766 4.8442 8.4703 90.00 98.97 90.00
Space group C2/m (No. 12)
Asymmetric unit:
Cu (0.0000, 0.0000, 0.0000) x2
Pd (0.1673, 0.5000, 0.4420) x4
Au (0.0000, 0.0000, 0.3321) x4
Au (0.1670, 0.5000, 0.1048) x4
Au (0.1691, 0.5000, 0.7732) x4

***

Here is an optimized crystal structure of Cu2PdAu from Alexandria. Energies are from GGA-PBE.

Computed properties:
Crystal system: tetragonal
Offset from the most stable computed form in meV per atom: 0
Spin magnetization in μB per cell: 0.000

Lattice parameters (Å, degrees): 4.0528 4.0528 3.4903 90.00 90.00 90.00
Space group P4/mmm (No. 123)
Asymmetric unit:
Cu (0.0000, 0.5000, 0.0000) x2
Pd (0.0000, 0.0000, 0.5000) x1
Au (0.5000, 0.5000, 0.5000) x1

***

Here is an optimized crystal structure of Cu5Pd4Au2 from Alexandria. Energies are from GGA-PBE.

Computed properties:
Crystal system: monoclinic
Spin magnetization in μB per cell: 0.000
Total energy in eV/atom: -4.437

Lattice parameters (Å, degrees): 13.5990 3.9478 6.2494 90.00 108.61 90.00
Space group C2/m (No. 12)
Asymmetric unit:
Cu (0.0000, 0.0000, 0.0000) x2
Cu (0.0463, 0.5000, 0.7264) x4
Cu (0.2268, 0.5000, 0.6442) x4
Pd (0.1340, 0.5000, 0.1773) x4
Pd (0.1775, 0.0000, 0.9084) x4
Au (0.0933, 0.0000, 0.4492) x4

***

Here is an optimized crystal structure of Cu6PdAu8 from Alexandria. Energies are from GGA-PBE.

Computed properties:
Crystal system: trigonal
Offset from the most stable computed form in meV per atom: 0
Spin magnetization in μB per cell: 0.000

Lattice parameters (Å, degrees): 7.2412 7.2412 16.2635 90.00 90.00 120.00
Space group R-3 (No. 148, hexagonal axes)
Asymmetric unit:
Cu (0.0073, 0.7232, 0.2044) x18
Pd (0.0000, 0.0000, 0.5000) x3
Au (0.0000, 0.0000, 0.1017) x6
Au (0.0357, 0.2634, 0.6301) x18